VASP calculation (PBE-GGA) on a relaxed structure of NaI.

Computed properties:
Spin magnetization, μB per formula unit: 0.00
Density, g/cm³: 2.2
Crystal system: cubic
E_form (uncorrected), eV per atom: -1.195
DOS(E_F), states/eV/f.u.: 0.000

Lattice parameters (Å, degrees): 8.800 8.800 8.800 90.00 90.00 90.00
Positions (direct):
Na 0.000 0.500 0.250
Na 0.500 0.250 0.000
I 0.250 0.500 0.000
Na 0.750 0.000 0.500
I 0.000 0.750 0.500
Na 0.500 0.750 0.000
I 0.750 0.500 0.000
Na 0.250 0.000 0.500
I 0.000 0.250 0.500
Na 0.000 0.500 0.750
I 0.500 0.000 0.750
I 0.500 0.000 0.250



VASP calculation (PBE-GGA) on a relaxed structure of NaI3.

Computed properties:
Energy relative to the lowest polymorph listed for this composition, kJ/mol of formula units: 153.8
Spin magnetization, μB per formula unit: 2.00
Density, g/cm³: 4.4
Crystal system: cubic
E_form (uncorrected), eV per atom: -0.198
DOS(E_F), states/eV/f.u.: 3.028

Lattice parameters (Å, degrees): 6.014 6.014 6.014 60.00 60.00 60.00
Last column: magnetic moment on the atom in μB.
Positions (direct):
Na 0.000 0.000 0.000  0.00
I 0.750 0.750 0.750  0.35
I 0.500 0.500 0.500  0.63
I 0.250 0.250 0.250  0.35



VASP calculation (PBE-GGA) on a relaxed structure of NaI.

Computed properties:
Spin magnetization, μB per formula unit: 0.00
Density, g/cm³: 2.7
Crystal system: cubic
E_form (uncorrected), eV per atom: -1.211
DOS(E_F), states/eV/f.u.: 0.000

Lattice parameters (Å, degrees): 7.160 7.160 7.160 90.00 90.00 90.00
Positions (direct):
I 0.500 0.000 0.500
I 0.500 0.500 0.000
I 0.000 0.500 0.500
Na 0.750 0.250 0.750
Na 0.250 0.750 0.750
Na 0.250 0.250 0.250
I 0.000 0.000 0.000
Na 0.750 0.750 0.250



VASP calculation (PBE-GGA) on a relaxed structure of Na4I3.

Computed properties:
Spin magnetization, μB per formula unit: 0.00
Density, g/cm³: 3.0
Crystal system: trigonal
E_form (uncorrected), eV per atom: -1.015
DOS(E_F), states/eV/f.u.: 1.360

Lattice parameters (Å, degrees): 4.529 4.529 15.058 81.35 81.35 60.00
Positions (direct):
Na 0.376 0.376 0.871
I 0.247 0.247 0.259
Na 0.624 0.624 0.129
I 0.753 0.753 0.741
Na 0.130 0.130 0.609
Na 0.870 0.870 0.391
I 0.000 0.000 0.000